[1]
Entry from the Alexandria database: an optimized crystal structure of Pu2NpF8 (PBE).

Unit cell a=7.068 b=7.068 c=7.282 alpha=99.65 beta=99.65 gamma=34.08
Element x y z (fractional)
Pu  0.241  0.241  0.239
Pu  0.759  0.759  0.761
Np  0.000  0.000  0.500
F  0.069  0.069  0.235
F  0.196  0.196  0.572
F  0.296  0.296  0.935
F  0.422  0.422  0.364
F  0.578  0.578  0.636
F  0.704  0.704  0.065
F  0.804  0.804  0.428
F  0.931  0.931  0.765

## Properties
- density (g/cm³) = 7.257
- symmetry = No. 12
- ΔE to the lowest computed polymorph (eV/atom) = 0.016
- total energy (eV per atom) = -8.57
- uncorrected formation energy (eV per atom) = -3.43

[2]
Entry from the Alexandria database: an optimized crystal structure of PuNp2F8 (PBE).

Unit cell a=6.906 b=6.906 c=6.906 alpha=147.25 beta=121.54 gamma=68.65
Element x y z (fractional)
Pu  0.000  0.000  0.000
Np  0.318  0.318  0.000
Np  0.682  0.682  0.000
F  0.116  0.838  0.278
F  0.145  0.645  0.500
F  0.311  0.500  0.811
F  0.441  0.162  0.278
F  0.559  0.838  0.722
F  0.689  0.500  0.189
F  0.855  0.355  0.500
F  0.884  0.162  0.722

## Properties
- density (g/cm³) = 9.643
- symmetry = No. 71
- total energy (eV per atom) = -8.32
- uncorrected formation energy (eV per atom) = -3.31

[3]
Entry from the Alexandria database: an optimized crystal structure of PuNpF6 (PBE).

Unit cell a=5.543 b=5.543 c=8.469 alpha=90.00 beta=90.00 gamma=90.00
Element x y z (fractional)
Pu  0.000  0.000  0.250
Pu  0.000  0.000  0.750
Np  0.500  0.500  0.000
Np  0.500  0.500  0.500
F  0.180  0.790  0.000
F  0.210  0.180  0.500
F  0.260  0.695  0.328
F  0.260  0.695  0.672
F  0.305  0.260  0.172
F  0.305  0.260  0.828
F  0.695  0.740  0.172
F  0.695  0.740  0.828
F  0.740  0.305  0.328
F  0.740  0.305  0.672
F  0.790  0.820  0.500
F  0.820  0.210  0.000

## Properties
- density (g/cm³) = 7.594
- symmetry = No. 84
- total energy (eV per atom) = -8.30
- uncorrected formation energy (eV per atom) = -3.49

[4]
Entry from the Alexandria database: an optimized crystal structure of RbNp2F7 (PBE).

Unit cell a=7.085 b=7.085 c=4.582 alpha=90.00 beta=90.00 gamma=117.35
Element x y z (fractional)
Rb  0.000  0.000  0.000
Np  0.310  0.690  0.500
Np  0.690  0.310  0.500
F  0.042  0.332  0.500
F  0.293  0.707  0.000
F  0.332  0.042  0.500
F  0.500  0.500  0.500
F  0.668  0.958  0.500
F  0.707  0.293  0.000
F  0.958  0.668  0.500

## Properties
- density (g/cm³) = 5.628
- symmetry = No. 65
- total energy (eV per atom) = -7.29
- uncorrected formation energy (eV per atom) = -3.29